This record from Alexandria via LeMat-Bulk describes a relaxed structure of TbHoCoNi. The functional is PBE.

It has space group Amm2 (No. 38), with a = 3.9499 Å, b = 3.8340 Å, c = 10.4469 Å, α = 90.00°, β = 90.00° and γ = 90.00°. Symmetry generates all atoms from Tb at (0.0000, 0.0000, 0.0000), Ho at (0.5000, 0.0000, 0.7162), Co at (0.0000, 0.0000, 0.2867) and Ni at (0.5000, 0.0000, 0.4237).

The value obtained for the volume is 158.2 Å³ per cell. The calculation puts the calculated formation energy at -0.3153 eV per atom. The value obtained for the excess energy over the best structure of this formula in the dataset is 0.000 eV/f.u. For the magnetic moment, the calculation gives 0.0 μB per cell.